{
  "formula": "Al2ReRh",
  "functional": "PBE",
  "state": "optimized geometry",
  "m_tot_mub_per_fu": 0.00,
  "e_above_lowest_polymorph_mev_per_atom": 294.2,
  "ef_ev_per_atom": -0.258,
  "n_ef_per_ev_atom": 0.81,
  "total_energy_ev_per_atom": -7.0791,
  "lattice": [[5.104, 0.002, 0.003], [2.004, 4.694, -0.003], [-2.791, -3.503, 2.448]],
  "species": ["Re", "Rh", "Al", "Al"],
  "fractional_positions": [[0.750, 0.250, 0.500], [0.250, 0.750, 0.500], [0.010, 0.010, 0.000], [0.490, 0.490, 0.000]]
}